1.
VASP calculation (PBE) on CdCuS2 after structural relaxation.

Cell and atoms, written as CIF:
```
data_CdCuS2
_symmetry_space_group_name_H-M 'I -4 2 d'
_symmetry_Int_Tables_number 122
_symmetry_space_group_name_Hall 'I -4 2bw'
_cell_length_a 5.606
_cell_length_b 5.606
_cell_length_c 10.980
_cell_angle_alpha 90.00
_cell_angle_beta 90.00
_cell_angle_gamma 90.00
loop_
_atom_site_label
_atom_site_fract_x
_atom_site_fract_y
_atom_site_fract_z
Cd1 0.000 0.000 0.000
Cu1 0.000 0.000 0.500
S1 0.207 0.250 0.625
```

Calculated values
The magnetic moment is 0.000 μB per cell. For the uncorrected energy, the calculation gives -3.664 eV/atom. The density of states at the Fermi level is 0.977 states/eV per atom.

=====

2.
VASP calculation (PBE) on CdCu2SbS4 after structural relaxation.

Cell and atoms, written as CIF:
```
data_CdCu2SbS4
_symmetry_space_group_name_H-M 'I -4 2 m'
_symmetry_Int_Tables_number 121
_symmetry_space_group_name_Hall 'I -4 2'
_cell_length_a 5.671
_cell_length_b 5.671
_cell_length_c 11.173
_cell_angle_alpha 90.00
_cell_angle_beta 90.00
_cell_angle_gamma 90.00
loop_
_atom_site_label
_atom_site_fract_x
_atom_site_fract_y
_atom_site_fract_z
Cd1 0.000 0.000 0.000
Cu1 0.000 0.500 0.250
Sb1 0.000 0.000 0.500
S1 0.250 0.250 0.355
```

Calculated values
The magnetic moment is 0.000 μB per cell. For the uncorrected energy, the calculation gives -3.991 eV/atom. The density of states at the Fermi level is 0.441 states/eV per atom.

=====

3.
VASP calculation (PBE) on CdCuSi2S6 after structural relaxation.

Cell and atoms, written as CIF:
```
data_CdCuSi2S6
_symmetry_space_group_name_H-M 'C 1 2/c 1'
_symmetry_Int_Tables_number 15
_symmetry_space_group_name_Hall '-C 2yc'
_cell_length_a 12.747
_cell_length_b 12.135
_cell_length_c 6.391
_cell_angle_alpha 90.00
_cell_angle_beta 115.51
_cell_angle_gamma 90.00
loop_
_atom_site_label
_atom_site_fract_x
_atom_site_fract_y
_atom_site_fract_z
Cd1 0.000 0.199 0.250
Cu1 0.000 0.219 0.750
Si1 0.211 0.421 0.234
S1 0.104 0.085 0.632
S2 0.142 0.445 0.488
S3 0.147 0.259 0.103
```

Calculated values
The magnetic moment is 0.001 μB per cell. For the uncorrected energy, the calculation gives -4.473 eV/atom. The density of states at the Fermi level is 0.560 states/eV per atom.